# B3SbF PBE relaxed
data_B3SbF
_chemical_formula_sum 'B3 Sb1 F1'
_cell_length_a 4.541
_cell_length_b 4.541
_cell_length_c 4.541
_cell_angle_alpha 90.00
_cell_angle_beta 90.00
_cell_angle_gamma 90.00
_symmetry_space_group_name_H-M 'P m -3 m'
_symmetry_Int_Tables_number 221
_symmetry_space_group_name_Hall '-P 4 2 3'
loop_
_atom_site_label
_atom_site_type_symbol
_atom_site_fract_x
_atom_site_fract_y
_atom_site_fract_z
_atom_site_occupancy
B1 B 0.000 0.000 0.500 1
Sb1 Sb 0.000 0.000 0.000 1
F1 F 0.500 0.500 0.500 1
# uncorrected formation energy	9.79	eV per formula unit
# crystal system	cubic
# E	-3.247	eV per atom
# energy relative to the lowest polymorph listed for this composition	1.278	eV per formula unit


# InP2Au PBE relaxed
data_InP2Au
_chemical_formula_sum 'In2 P4 Au2'
_cell_length_a 3.736
_cell_length_b 5.978
_cell_length_c 7.379
_cell_angle_alpha 90.00
_cell_angle_beta 90.00
_cell_angle_gamma 90.00
_symmetry_space_group_name_H-M 'C m m m'
_symmetry_Int_Tables_number 65
_symmetry_space_group_name_Hall '-C 2 2'
loop_
_atom_site_label
_atom_site_type_symbol
_atom_site_fract_x
_atom_site_fract_y
_atom_site_fract_z
_atom_site_occupancy
In1 In 0.000 0.000 0.000 1
P1 P 0.000 0.500 0.278 1
Au1 Au 0.000 0.000 0.500 1
# E_form	1.7	eV/f.u.
# crystal system	orthorhombic
# E	-3.794	eV per atom


# Rb3Ge2Cl7 PBE relaxed
data_Rb3Ge2Cl7
_chemical_formula_sum 'Rb6 Ge4 Cl14'
_cell_length_a 5.296
_cell_length_b 5.296
_cell_length_c 27.080
_cell_angle_alpha 90.00
_cell_angle_beta 90.00
_cell_angle_gamma 90.00
_symmetry_space_group_name_H-M 'I 4/m m m'
_symmetry_Int_Tables_number 139
_symmetry_space_group_name_Hall '-I 4 2'
loop_
_atom_site_label
_atom_site_type_symbol
_atom_site_fract_x
_atom_site_fract_y
_atom_site_fract_z
_atom_site_occupancy
Rb1 Rb 0.000 0.000 0.000 1
Rb2 Rb 0.000 0.000 0.181 1
Ge1 Ge 0.000 0.000 0.400 1
Cl1 Cl 0.000 0.000 0.303 1
Cl2 Cl 0.000 0.000 0.500 1
Cl3 Cl 0.000 0.500 0.098 1
# uncorrected formation energy	-16.84	eV per formula unit
# crystal system	tetragonal
# E	-3.492	eV per atom
# energy relative to the lowest polymorph listed for this composition	0.000	eV per formula unit


# CeInPd PBE relaxed
data_CeInPd
_chemical_formula_sum 'Ce6 In6 Pd6'
_cell_length_a 13.687
_cell_length_b 3.927
_cell_length_c 7.832
_cell_angle_alpha 90.00
_cell_angle_beta 90.00
_cell_angle_gamma 90.00
_symmetry_space_group_name_H-M 'P m m a'
_symmetry_Int_Tables_number 51
_symmetry_space_group_name_Hall '-P 2a 2a'
loop_
_atom_site_label
_atom_site_type_symbol
_atom_site_fract_x
_atom_site_fract_y
_atom_site_fract_z
_atom_site_occupancy
Ce1 Ce 0.046 0.000 0.232 1
Ce2 Ce 0.250 0.000 0.853 1
In1 In 0.117 0.500 0.569 1
In2 In 0.250 0.500 0.197 1
Pd1 Pd 0.098 0.500 0.936 1
Pd2 Pd 0.250 0.000 0.454 1
# E_form	-2.0	eV/f.u.
# crystal system	orthorhombic
# E	-5.301	eV per atom


# Tb2CeTmIn4 PBE relaxed
data_Tb2CeTmIn4
_chemical_formula_sum 'Tb6 Ce3 Tm3 In12'
_cell_length_a 5.3426
_cell_length_b 5.3426
_cell_length_c 26.3820
_cell_angle_alpha 90.00
_cell_angle_beta 90.00
_cell_angle_gamma 120.00
_symmetry_space_group_name_H-M 'R -3 m'
_symmetry_Int_Tables_number 166
_symmetry_space_group_name_Hall '-R 3 2"'
loop_
_atom_site_label
_atom_site_type_symbol
_atom_site_fract_x
_atom_site_fract_y
_atom_site_fract_z
_atom_site_occupancy
Tb1 Tb 0.0000 0.0000 0.2491 1
Ce1 Ce 0.0000 0.0000 0.0000 1
Tm1 Tm 0.0000 0.0000 0.5000 1
In1 In 0.0000 0.0000 0.1266 1
In2 In 0.0000 0.0000 0.3769 1
# E_form	-3.4	eV/f.u.
# crystal system	trigonal
# E	-4.248	eV per atom


# AcIn3Pt2 PBE relaxed
data_AcIn3Pt2
_chemical_formula_sum 'Ac6 In18 Pt12'
_cell_length_a 9.5882
_cell_length_b 9.5882
_cell_length_c 11.8674
_cell_angle_alpha 90.00
_cell_angle_beta 90.00
_cell_angle_gamma 120.00
_symmetry_space_group_name_H-M 'R -3 m'
_symmetry_Int_Tables_number 166
_symmetry_space_group_name_Hall '-R 3 2"'
loop_
_atom_site_label
_atom_site_type_symbol
_atom_site_fract_x
_atom_site_fract_y
_atom_site_fract_z
_atom_site_occupancy
Ac1 Ac 0.0000 0.0000 0.2493 1
In1 In 0.0006 0.5003 0.2492 1
Pt1 Pt 0.0000 0.0000 0.0000 1
Pt2 Pt 0.0000 0.5000 0.0000 1
# E_form	-3.5	eV/f.u.
# crystal system	trigonal
# E	-4.647	eV per atom
# energy relative to the lowest polymorph listed for this composition	0.631	eV per formula unit